{
  "formula": "KAuBr2",
  "functional": "PBE-GGA",
  "state": "optimized geometry",
  "lattice_angstrom": [[4.157, 0.000, 0.000], [0.000, 4.157, 0.000], [0.000, 0.000, 7.433]],
  "species": ["K", "Au", "Br", "Br"],
  "fractional_positions": [[0.000, 0.000, 0.000], [0.500, 0.500, 0.514], [0.000, 0.000, 0.565], [0.500, 0.500, 0.148]],
  "n_ef_per_ev_cell": 0.3,
  "total_magnetization_mub_per_atom": 0.00,
  "polymorph_energy_mev_per_atom": 233
}